The following is a DFT calculation (PBE) of ZnCoReGe after structural relaxation.

Lattice parameters (Å, degrees): 5.975 5.975 5.975 90.00 90.00 90.00
Space group F-43m (No. 216)
One atom of each set of equivalent atoms:
Zn 0.000 0.000 0.000 x4
Co 0.250 0.250 0.750 x4
Re 0.250 0.250 0.250 x4
Ge 0.000 0.000 0.500 x4

Values from the calculation:
Final energy in eV/atom: -6.113
Distance to the lowest polymorph of the same formula in eV per atom: 0.000
Total magnetization in Bohr magnetons per cell: 2.44

---

The following is a DFT calculation (PBE) of ZnCoReGe after structural relaxation.

Lattice parameters (Å, degrees): 6.041 6.041 6.041 90.00 90.00 90.00
Space group F-43m (No. 216)
One atom of each set of equivalent atoms:
Zn 0.000 0.000 0.000 x4
Co 0.000 0.000 0.500 x4
Re 0.250 0.250 0.750 x4
Ge 0.250 0.250 0.250 x4

Values from the calculation:
Final energy in eV/atom: -5.817
Distance to the lowest polymorph of the same formula in eV per atom: 0.296
Total magnetization in Bohr magnetons per cell: 7.45

---

The following is a DFT calculation (PBE) of Co2GeS4 after structural relaxation.

Lattice parameters (Å, degrees): 9.747 9.747 9.747 90.00 90.00 90.00
Space group Fd-3m (No. 227, origin choice 2)
One atom of each set of equivalent atoms:
Co 0.000 0.000 0.000 x16
Ge 0.125 0.125 0.625 x8
S 0.017 0.017 0.233 x32

Values from the calculation:
Final energy in eV/atom: -5.369
Total magnetization in Bohr magnetons per cell: 0.01

---

The following is a DFT calculation (PBE) of TlCoGeS3 after structural relaxation.

Lattice parameters (Å, degrees): 7.944 3.496 9.774 90.00 108.98 90.00
Space group P2_1/m (No. 11)
One atom of each set of equivalent atoms:
Tl 0.223 0.250 0.253 x2
Co 0.376 0.750 0.853 x2
Ge 0.142 0.250 0.562 x2
S 0.169 0.250 0.807 x2
S 0.359 0.750 0.607 x2
S 0.428 0.750 0.091 x2

Values from the calculation:
Final energy in eV/atom: -4.722
Total magnetization in Bohr magnetons per cell: 0.00

---

The following is a DFT calculation (PBE) of CoGeSb after structural relaxation.

Lattice parameters (Å, degrees): 5.982 5.982 5.982 90.00 90.00 90.00
Space group F-43m (No. 216)
One atom of each set of equivalent atoms:
Co 0.000 0.000 0.000 x4
Ge 0.250 0.250 0.750 x4
Sb 0.250 0.250 0.250 x4

Values from the calculation:
Final energy in eV/atom: -5.335
Distance to the lowest polymorph of the same formula in eV per atom: 0.000
Total magnetization in Bohr magnetons per cell: 0.00

---

The following is a DFT calculation (PBE) of ScCo2Ge after structural relaxation.

Lattice parameters (Å, degrees): 6.074 6.074 6.074 90.00 90.00 90.00
Space group F-43m (No. 216)
One atom of each set of equivalent atoms:
Sc 0.000 0.000 0.000 x4
Co 0.000 0.000 0.500 x4
Co 0.250 0.250 0.250 x4
Ge 0.250 0.250 0.750 x4

Values from the calculation:
Final energy in eV/atom: -6.376
Total magnetization in Bohr magnetons per cell: 0.37

---

- Number 3 is which compound?
  Co2GeS4